Entry 1:
This record from Alexandria describes a geometry-optimized CrRhNF2 structure. The functional is GGA+U.

Structure (CIF):
```
data_CrRhNF2
_symmetry_space_group_name_H-M 'P 4/m m m'
_symmetry_Int_Tables_number 123
_symmetry_space_group_name_Hall '-P 4 2'
_cell_length_a 4.402
_cell_length_b 4.402
_cell_length_c 3.669
_cell_angle_alpha 90.00
_cell_angle_beta 90.00
_cell_angle_gamma 90.00
loop_
_atom_site_label
_atom_site_type_symbol
_atom_site_fract_x
_atom_site_fract_y
_atom_site_fract_z
_atom_site_occupancy
Cr1 Cr 0.000 0.000 0.000 1
Rh1 Rh 0.500 0.500 0.500 1
N1 N 0.500 0.500 0.000 1
F1 F 0.000 0.500 0.500 1
```

Results
- Total DFT energy (no corrections): -5.78 eV per atom
- Crystal system: tetragonal
- Fermi-level density of states: 1.91 states/eV/cell

Entry 2:
This record from Alexandria describes a geometry-optimized CrRuN2F structure. The functional is GGA+U.

Structure (CIF):
```
data_CrRuN2F
_symmetry_space_group_name_H-M 'P 4/m m m'
_symmetry_Int_Tables_number 123
_symmetry_space_group_name_Hall '-P 4 2'
_cell_length_a 3.830
_cell_length_b 3.830
_cell_length_c 4.253
_cell_angle_alpha 90.00
_cell_angle_beta 90.00
_cell_angle_gamma 90.00
loop_
_atom_site_label
_atom_site_type_symbol
_atom_site_fract_x
_atom_site_fract_y
_atom_site_fract_z
_atom_site_occupancy
Cr1 Cr 0.000 0.000 0.000 1
Ru1 Ru 0.500 0.500 0.500 1
N1 N 0.000 0.500 0.500 1
F1 F 0.500 0.500 0.000 1
```

Results
- Total DFT energy (no corrections): -6.79 eV per atom
- Crystal system: tetragonal
- Fermi-level density of states: 1.66 states/eV/cell

Look up the Fermi-level density of states of the second one. 1.66 states/eV/cell

Among the records above, which one has the highest total DFT energy (no corrections)? CrRhNF2

What is the total DFT energy (no corrections) in the second record? -6.79 eV per atom

Which of these has the highest total DFT energy (no corrections)? CrRhNF2